No. 1
Entry from Alexandria via LeMat-Bulk: crystalline Ba2Zn3NiGe4 at its relaxed geometry (PBE-GGA).

a = 4.485 Å, b = 4.485 Å, c = 10.716 Å
α = 90.00°, β = 90.00°, γ = 90.00°
Element x y z (fractional)
Ba (0.000, 0.500, 0.244)
Ba (0.500, 0.000, 0.756)
Zn (0.000, 0.000, 0.000)
Zn (0.000, 0.500, 0.634)
Zn (0.500, 0.000, 0.366)
Ni (0.500, 0.500, 0.000)
Ge (0.000, 0.000, 0.500)
Ge (0.000, 0.500, 0.885)
Ge (0.500, 0.000, 0.115)
Ge (0.500, 0.500, 0.500)

Crystal system = tetragonal
Fermi-level density of states = 3.901 states/eV/f.u.
DFT formation energy = -0.350 eV per atom


No. 2
Entry from Alexandria via LeMat-Bulk: crystalline LiTbMgTl at its relaxed geometry (PBE-GGA).

a = 5.089 Å, b = 5.089 Å, c = 5.089 Å
α = 60.00°, β = 60.00°, γ = 60.00°
Element x y z (fractional)
Li (0.000, 0.000, 0.000)
Tb (0.750, 0.750, 0.750)
Mg (0.250, 0.250, 0.250)
Tl (0.500, 0.500, 0.500)

Crystal system = cubic
Fermi-level density of states = 2.611 states/eV/f.u.
DFT formation energy = -0.208 eV per atom


No. 3
Entry from Alexandria via LeMat-Bulk: crystalline ReRu2Pt at its relaxed geometry (PBE-GGA).

a = 4.747 Å, b = 4.747 Å, c = 4.782 Å
α = 99.41°, β = 99.41°, γ = 33.34°
Element x y z (fractional)
Re (0.000, 0.000, 0.000)
Ru (0.256, 0.256, 0.765)
Ru (0.744, 0.744, 0.235)
Pt (0.500, 0.500, 0.500)

Crystal system = monoclinic
Excess energy over the best structure of this formula in the dataset = 0.08 eV per formula unit
Fermi-level density of states = 4.321 states/eV/f.u.
DFT formation energy = -0.001 eV per atom